Entry 1:
NbZnBi2B | PBE | relaxed

Results
Its energy of formation from the pure elements is 1.766 eV per atom. The total DFT energy (no corrections) is -3.39 eV per atom. The total moment comes out at 2.2 μB per formula unit.

Cell and atoms, written as CIF:
```
data_NbZnBi2B
_cell_length_a 5.243
_cell_length_b 5.243
_cell_length_c 5.002
_cell_angle_alpha 90.00
_cell_angle_beta 90.00
_cell_angle_gamma 90.00
_symmetry_space_group_name_H-M 'P 4/m m m'
_symmetry_Int_Tables_number 123
_symmetry_space_group_name_Hall '-P 4 2'
loop_
_atom_site_label
_atom_site_fract_x
_atom_site_fract_y
_atom_site_fract_z
Nb1 0.000 0.000 0.000
Zn1 0.000 0.000 0.500
Bi1 0.000 0.500 0.500
B1 0.500 0.500 0.000
```

---

Entry 2:
Nd3BiB | PBE | relaxed

Results
Its energy of formation from the pure elements is -0.377 eV per atom. The total DFT energy (no corrections) is -5.35 eV per atom. The total moment comes out at 0.0 μB per formula unit.

Cell and atoms, written as CIF:
```
data_Nd3BiB
_cell_length_a 5.235
_cell_length_b 5.235
_cell_length_c 5.235
_cell_angle_alpha 90.00
_cell_angle_beta 90.00
_cell_angle_gamma 90.00
_symmetry_space_group_name_H-M 'P m -3 m'
_symmetry_Int_Tables_number 221
_symmetry_space_group_name_Hall '-P 4 2 3'
loop_
_atom_site_label
_atom_site_fract_x
_atom_site_fract_y
_atom_site_fract_z
Nd1 0.000 0.000 0.500
Bi1 0.500 0.500 0.500
B1 0.000 0.000 0.000
```

---

Entry 3:
NiBi3B | PBE | relaxed

Results
The energy above the most stable polymorph in this dataset comes out at 0.000 eV per atom. Its energy of formation from the pure elements is 1.047 eV per atom. The total DFT energy (no corrections) is -3.77 eV per atom. The total moment comes out at 0.0 μB per formula unit.

Cell and atoms, written as CIF:
```
data_NiBi3B
_cell_length_a 4.956
_cell_length_b 4.956
_cell_length_c 4.956
_cell_angle_alpha 90.00
_cell_angle_beta 90.00
_cell_angle_gamma 90.00
_symmetry_space_group_name_H-M 'P m -3 m'
_symmetry_Int_Tables_number 221
_symmetry_space_group_name_Hall '-P 4 2 3'
loop_
_atom_site_label
_atom_site_fract_x
_atom_site_fract_y
_atom_site_fract_z
Ni1 0.000 0.000 0.000
Bi1 0.000 0.500 0.500
B1 0.500 0.500 0.500
```

---

Entry 4:
Ni3BiB | PBE | relaxed

Results
The energy above the most stable polymorph in this dataset comes out at 0.000 eV per atom. Its energy of formation from the pure elements is 0.018 eV per atom. The total DFT energy (no corrections) is -5.56 eV per atom. The total moment comes out at 0.0 μB per formula unit.

Cell and atoms, written as CIF:
```
data_Ni3BiB
_cell_length_a 4.032
_cell_length_b 4.032
_cell_length_c 4.032
_cell_angle_alpha 90.00
_cell_angle_beta 90.00
_cell_angle_gamma 90.00
_symmetry_space_group_name_H-M 'P m -3 m'
_symmetry_Int_Tables_number 221
_symmetry_space_group_name_Hall '-P 4 2 3'
loop_
_atom_site_label
_atom_site_fract_x
_atom_site_fract_y
_atom_site_fract_z
Ni1 0.000 0.000 0.500
Bi1 0.500 0.500 0.500
B1 0.000 0.000 0.000
```

---

Entry 5:
NiBi3B | PBE | relaxed

Results
The energy above the most stable polymorph in this dataset comes out at 0.094 eV per atom. Its energy of formation from the pure elements is 1.140 eV per atom. The total DFT energy (no corrections) is -3.68 eV per atom. The total moment comes out at 0.0 μB per formula unit.

Cell and atoms, written as CIF:
```
data_NiBi3B
_cell_length_a 5.131
_cell_length_b 5.131
_cell_length_c 5.131
_cell_angle_alpha 90.00
_cell_angle_beta 90.00
_cell_angle_gamma 90.00
_symmetry_space_group_name_H-M 'P m -3 m'
_symmetry_Int_Tables_number 221
_symmetry_space_group_name_Hall '-P 4 2 3'
loop_
_atom_site_label
_atom_site_fract_x
_atom_site_fract_y
_atom_site_fract_z
Ni1 0.000 0.000 0.000
Bi1 0.000 0.000 0.500
B1 0.500 0.500 0.500
```

---

Entry 6:
Ni3BiB | PBE | relaxed

Results
The energy above the most stable polymorph in this dataset comes out at 1.959 eV per atom. Its energy of formation from the pure elements is 1.977 eV per atom. The total DFT energy (no corrections) is -3.60 eV per atom. The total moment comes out at 0.1 μB per formula unit.

Cell and atoms, written as CIF:
```
data_Ni3BiB
_cell_length_a 4.798
_cell_length_b 4.798
_cell_length_c 4.798
_cell_angle_alpha 90.00
_cell_angle_beta 90.00
_cell_angle_gamma 90.00
_symmetry_space_group_name_H-M 'P m -3 m'
_symmetry_Int_Tables_number 221
_symmetry_space_group_name_Hall '-P 4 2 3'
loop_
_atom_site_label
_atom_site_fract_x
_atom_site_fract_y
_atom_site_fract_z
Ni1 0.000 0.000 0.500
Bi1 0.000 0.000 0.000
B1 0.500 0.500 0.500
```

---

Entry 7:
Ni10BiB3 | PBE | relaxed

Results
Its energy of formation from the pure elements is -0.158 eV per atom. The total DFT energy (no corrections) is -6.00 eV per atom. The total moment comes out at 0.0 μB per formula unit.

Cell and atoms, written as CIF:
```
data_Ni10BiB3
_cell_length_a 10.654
_cell_length_b 10.654
_cell_length_c 10.654
_cell_angle_alpha 90.00
_cell_angle_beta 90.00
_cell_angle_gamma 90.00
_symmetry_space_group_name_H-M 'F m -3 m'
_symmetry_Int_Tables_number 225
_symmetry_space_group_name_Hall '-F 4 2 3'
loop_
_atom_site_label
_atom_site_fract_x
_atom_site_fract_y
_atom_site_fract_z
Ni1 0.000 0.165 0.165
Ni2 0.114 0.114 0.386
Bi1 0.250 0.250 0.250
B1 0.000 0.000 0.271
```